A relaxed structure of Fe2SiNF, computed with PBE+U.

abc: 4.4118 3.4956 4.4118
angles: 90.00 90.00 90.00
Closest atoms and distances in Å follow each position.
Fractional coordinates of all 5 atoms:
Fe: 0.0000 0.0000 0.5000  2 N 2.21
Fe: 0.5000 0.0000 0.0000  2 N 2.21
N: 0.0000 0.0000 0.0000  2 Si 1.75
Si: 0.0000 0.5000 0.0000  2 N 1.75
F: 0.5000 0.5000 0.5000  8 Fe 2.81, 4 Si 3.12

Calculated values
- DOS at the Fermi energy: 1.1 states/eV/cell
- Total magnetic moment: 6.2 Bohr magnetons per cell
- VASP energy: -5.22 eV per atom